Compound: Be2InAs
Source: Alexandria via LeMat-Bulk
Functional: PBE
Structure: relaxed

The energy above the lowest structure with this stoichiometry comes out at 426 meV per atom.

It has space group Fm-3m (No. 225), with a = 6.335 Å, b = 6.335 Å, c = 6.335 Å, α = 90.00°, β = 90.00° and γ = 90.00°. Symmetry generates all atoms from Be at (0.250, 0.250, 0.250), In at (0.000, 0.000, 0.000) and As at (0.000, 0.000, 0.500).

---

Compound: Li3CuRh2O6
Source: Alexandria via LeMat-Bulk
Functional: PBE
Structure: relaxed

The calculation puts the uncorrected formation energy at -1179 meV per atom.

It has space group C2/m (No. 12), with a = 5.260 Å, b = 9.123 Å, c = 5.091 Å, α = 90.00°, β = 110.16° and γ = 90.00°. Symmetry generates all atoms from Li at (0.000, 0.000, 0.000), Li at (0.000, 0.335, 0.000), Cu at (0.000, 0.500, 0.500), Rh at (0.000, 0.167, 0.500), O at (0.242, 0.000, 0.730) and O at (0.245, 0.332, 0.731).

---

Compound: Th2CdGa4Pt3
Source: Alexandria via LeMat-Bulk
Functional: PBE
Structure: relaxed

The total energy is -54.1 eV for the cell shown.

It has space group P-4m2 (No. 115), with a = 4.318 Å, b = 4.318 Å, c = 10.699 Å, α = 90.00°, β = 90.00° and γ = 90.00°. Symmetry generates all atoms from Th at (0.000, 0.500, 0.239), Cd at (0.000, 0.000, 0.500), Ga at (0.000, 0.000, 0.000), Ga at (0.000, 0.500, 0.641), Ga at (0.500, 0.500, 0.000), Pt at (0.000, 0.500, 0.871) and Pt at (0.500, 0.500, 0.500).

---

Compound: CaLaCo2
Source: Alexandria via LeMat-Bulk
Functional: PBE
Structure: relaxed

The total energy is -76.8 eV for the cell shown.

It has space group F-43m (No. 216), with a = 6.759 Å, b = 6.759 Å, c = 6.759 Å, α = 90.00°, β = 90.00° and γ = 90.00°. Symmetry generates all atoms from Ca at (0.000, 0.000, 0.000), La at (0.250, 0.250, 0.750), Co at (0.000, 0.000, 0.500) and Co at (0.250, 0.250, 0.250).

---

Repeat the fourth record exactly.
Compound: CaLaCo2
Source: Alexandria via LeMat-Bulk
Functional: PBE
Structure: relaxed

The total energy is -76.8 eV for the cell shown.

It has space group F-43m (No. 216), with a = 6.759 Å, b = 6.759 Å, c = 6.759 Å, α = 90.00°, β = 90.00° and γ = 90.00°. Symmetry generates all atoms from Ca at (0.000, 0.000, 0.000), La at (0.250, 0.250, 0.750), Co at (0.000, 0.000, 0.500) and Co at (0.250, 0.250, 0.250).